# 1
## HfPa2Tc3 (GGA-PBE)

Data for HfPa2Tc3 after structural relaxation.

Excess energy over the best structure of this formula in the dataset, meV per atom: 31.9
M_tot, μB per cell: 0.0
Formation energy from the elements, eV/atom: -0.2733
Density, g/cm³: 13.3
SG: P4/mmm, No. 123

abc: 3.3880 3.3880 10.1319
angles: 90.00 90.00 90.00
Closest atoms and distances in Å follow each position.
Atoms (fractional coordinates):
Hf  0.0000  0.0000  0.0000  8 Tc 2.90
Pa  0.0000  0.0000  0.3270  8 Tc 2.92-2.97
Pa  0.0000  0.0000  0.6730  8 Tc 2.92-2.97
Tc  0.5000  0.5000  0.1619  4 Hf 2.90, 4 Pa 2.92
Tc  0.5000  0.5000  0.5000  8 Pa 2.97
Tc  0.5000  0.5000  0.8381  4 Hf 2.90, 4 Pa 2.92

***

# 2
## PmAlFeSi2 (GGA-PBE)

Data for PmAlFeSi2 after structural relaxation.

M_tot, μB per cell: 0.1
E_form (uncorrected), eV per atom: -0.458
Density, g/cm³: 5.5
SG: Pmma, No. 51

abc: 5.4345 5.5900 5.5975
angles: 90.00 90.00 90.00
Closest atoms and distances in Å follow each position.
Atoms (fractional coordinates):
Pm  0.2500  0.0000  0.2275  2 Al 2.89, 6 Si 3.05-3.09
Pm  0.7500  0.0000  0.7725  2 Al 2.89, 6 Si 3.05-3.09
Al  0.2500  0.5000  0.3593  2 Fe 2.43, 2 Si 2.56
Al  0.7500  0.5000  0.6407  2 Fe 2.43, 2 Si 2.56
Fe  0.0000  0.5000  0.0000  4 Si 2.36, 2 Al 2.43
Fe  0.5000  0.5000  0.0000  4 Si 2.36, 2 Al 2.43
Si  0.2500  0.2622  0.7500  2 Fe 2.36, 1 Al 2.56
Si  0.2500  0.7378  0.7500  2 Fe 2.36, 1 Al 2.56
Si  0.7500  0.2622  0.2500  2 Fe 2.36, 1 Al 2.56
Si  0.7500  0.7378  0.2500  2 Fe 2.36, 1 Al 2.56

***

Question: The highest M_tot belongs to which entry?
Answer: PmAlFeSi2